# 1
Entry from Alexandria: a relaxed structure of Ac2HgTe4 (PBE).

Cell and atoms, written as POSCAR:
```
Ac2HgTe4
1.0
7.647 0.000 0.000
0.000 7.804 0.000
-2.673 0.000 8.643
Ac Hg Te
4 2 8
Cartesian
1.506 1.951 0.435
0.339 1.951 4.867
4.636 5.853 3.776
3.469 5.853 8.208
1.018 5.853 2.705
3.956 1.951 5.939
-1.826 4.048 6.499
-1.826 7.658 6.499
3.106 5.853 0.818
1.765 5.853 5.427
3.210 1.951 3.216
1.869 1.951 7.825
6.801 0.146 2.145
6.801 3.756 2.145
```

## Properties
Total magnetic moment   0.00 μB per formula unit
DOS at the Fermi energy   0.04 states/eV per atom
ΔE_f (raw)   -1.071 eV/atom


# 2
Entry from Alexandria: a relaxed structure of AcHgTe2 (PBE).

Cell and atoms, written as POSCAR:
```
AcHgTe2
1.0
5.407 0.000 0.000
0.000 5.407 0.000
0.000 0.000 4.267
Ac Hg Te
1 1 2
Cartesian
0.000 0.000 0.000
2.703 2.703 0.000
0.000 2.703 2.134
2.703 0.000 2.134
```

## Properties
Total magnetic moment   0.00 μB per formula unit
DOS at the Fermi energy   0.56 states/eV per atom
ΔE_f (raw)   -0.880 eV/atom
Energy above the lowest structure with this stoichiometry   20.1 meV/atom